Entry from Alexandria via LeMat-Bulk: SmErTlOs after structural relaxation (PBE-GGA).

For the formation energy, the calculation gives -0.46 eV per formula unit. As for the total moment: 0.00 Bohr magnetons per cell.

The space group is F-43m (No. 216) and the conventional cell measures 7.2103, 7.2103 and 7.2103 Å, with angles of 90.00, 90.00 and 90.00 degrees. The inequivalent atoms are Sm at (0.0000, 0.0000, 0.0000), Er at (0.0000, 0.0000, 0.5000), Tl at (0.2500, 0.2500, 0.7500) and Os at (0.2500, 0.2500, 0.2500).

Entry from Alexandria via LeMat-Bulk: SmErZnOs after structural relaxation (PBE-GGA).

For the formation energy, the calculation gives -0.93 eV per formula unit. As for the total moment: 0.00 Bohr magnetons per cell.

The space group is F-43m (No. 216) and the conventional cell measures 6.9868, 6.9868 and 6.9868 Å, with angles of 90.00, 90.00 and 90.00 degrees. The inequivalent atoms are Sm at (0.0000, 0.0000, 0.0000), Er at (0.0000, 0.0000, 0.5000), Zn at (0.2500, 0.2500, 0.7500) and Os at (0.2500, 0.2500, 0.2500).